Record 1
Here is a relaxed FePHAuC crystal from Alexandria. Energies are from PBE-GGA.

Computed properties:
For the energy relative to the lowest polymorph listed for this composition, the calculation gives 102 meV per atom. Its size of the total moment is 0.3 μB/f.u.

Structure (CIF):
```
data_FePHAuC
_cell_length_a 7.676
_cell_length_b 2.752
_cell_length_c 5.960
_cell_angle_alpha 90.00
_cell_angle_beta 100.45
_cell_angle_gamma 90.00
_space_group_name_H-M_alt 'C 1 m 1'
_space_group_IT_number 8
loop_
_space_group_symop_operation_xyz
'x,y,z'
'x,-y,z'
'x+1/2,y+1/2,z'
'x+1/2,-y+1/2,z'
loop_
_atom_site_label
_atom_site_type_symbol
_atom_site_fract_x
_atom_site_fract_y
_atom_site_fract_z
_atom_site_occupancy
Fe1 Fe 0.000 0.000 0.000 1
P1 P 0.271 0.000 0.873 1
H1 H 0.362 0.000 0.308 1
Au1 Au 0.145 0.000 0.476 1
C1 C 0.471 0.000 0.207 1
```

***

Record 2
Here is a relaxed AcLaPr2Sm2 crystal from Alexandria. Energies are from PBE-GGA.

Computed properties:
For the formation energy, the calculation gives 0.053 eV per atom. Its size of the total moment is 0.0 μB/f.u.

Structure (CIF):
```
data_AcLaPr2Sm2
_cell_length_a 7.354
_cell_length_b 5.901
_cell_length_c 10.183
_cell_angle_alpha 90.00
_cell_angle_beta 90.00
_cell_angle_gamma 90.00
_space_group_name_H-M_alt 'P m m a'
_space_group_IT_number 51
loop_
_space_group_symop_operation_xyz
'x,y,z'
'-x,-y,-z'
'-x+1/2,-y,z'
'x+1/2,y,-z'
'x+1/2,-y,-z'
'-x+1/2,y,z'
'-x,y,-z'
'x,-y,z'
loop_
_atom_site_label
_atom_site_type_symbol
_atom_site_fract_x
_atom_site_fract_y
_atom_site_fract_z
_atom_site_occupancy
Ac1 Ac 0.000 0.000 0.000 1
La1 La 0.250 0.500 0.171 1
Pr1 Pr 0.000 0.500 0.500 1
Pr2 Pr 0.250 0.000 0.664 1
Sm1 Sm 0.250 0.000 0.336 1
Sm2 Sm 0.250 0.500 0.831 1
```